No. 1
Ho3TmNi4 | the Open Quantum Materials Database | PBE | relaxed; final energy = -5.544 eV/atom; energy of formation = -11.169 kcal/mol of atoms; spin magnetization = 0.0 μB/f.u.
1.0
-5.103 -1.689 0.208
0.747 -1.808 3.653
-1.816 5.900 3.291
Ho Ni Tm
3 4 1
direct
0.130 0.000 0.180
0.630 0.500 0.320
0.870 0.500 0.820
0.625 0.000 0.038
0.125 0.500 0.462
0.875 0.000 0.538
0.375 0.500 0.962
0.370 0.000 0.680


No. 2
DyTmAg2Pb2 | the Open Quantum Materials Database | PBE | relaxed; final energy = -4.072 eV/atom; spin magnetization = 0.0 μB/f.u.
1.0
4.792 0.000 0.000
-2.396 4.150 0.000
0.000 0.000 7.428
Ag Dy Pb Tm
2 1 2 1
direct
0.667 0.333 0.174
0.333 0.667 0.675
0.000 0.000 0.495
0.333 0.667 0.272
0.667 0.333 0.773
0.000 0.000 0.996